(1)
{"formula": "Si2TcPb", "functional": "meta-GGA SCAN", "state": "PBEsol geometry", "lattice": [[7.954, 0.000, 0.000], [0.000, 3.213, 0.000], [-1.264, 0.000, 5.905]], "species": ["Si", "Si", "Si", "Si", "Tc", "Tc", "Pb", "Pb"], "frac_coords": [[0.229, 0.000, 0.147], [0.271, 0.500, 0.853], [0.729, 0.500, 0.147], [0.771, 0.000, 0.853], [0.000, 0.500, 0.000], [0.500, 0.000, 0.000], [0.000, 0.000, 0.500], [0.500, 0.500, 0.500]], "dft_energy_ev_per_atom": -32.499, "magnetic_moment_mub_per_atom": 0.000, "e_form_raw_ev_per_atom": 0.219}

(2)
{"formula": "InC2S", "functional": "meta-GGA SCAN", "state": "PBEsol geometry", "lattice": [[4.772, 0.000, 0.000], [0.000, 4.772, 0.000], [0.000, 0.000, 8.722]], "species": ["In", "In", "In", "In", "C", "C", "C", "C", "C", "C", "C", "C", "S", "S", "S", "S"], "frac_coords": [[0.000, 0.000, 0.000], [0.000, 0.500, 0.250], [0.500, 0.000, 0.750], [0.500, 0.500, 0.500], [0.172, 0.250, 0.625], [0.250, 0.672, 0.875], [0.250, 0.828, 0.375], [0.328, 0.250, 0.125], [0.672, 0.750, 0.125], [0.750, 0.172, 0.375], [0.750, 0.328, 0.875], [0.828, 0.750, 0.625], [0.000, 0.000, 0.500], [0.000, 0.500, 0.750], [0.500, 0.000, 0.250], [0.500, 0.500, 0.000]], "dft_energy_ev_per_atom": -14.326, "magnetic_moment_mub_per_atom": 0.000, "e_form_raw_ev_per_atom": 1.478}

(3)
{"formula": "Te2PdCI", "functional": "meta-GGA SCAN", "state": "PBEsol geometry", "lattice": [[5.197, 0.000, 0.000], [0.000, 5.197, 0.000], [0.000, 0.000, 5.322]], "species": ["Te", "Te", "Pd", "C", "I"], "frac_coords": [[0.000, 0.500, 0.000], [0.500, 0.000, 0.000], [0.000, 0.000, 0.000], [0.500, 0.500, 0.500], [0.000, 0.000, 0.500]], "dft_energy_ev_per_atom": -29.219, "magnetic_moment_mub_per_atom": 0.027, "e_form_raw_ev_per_atom": 1.605}

(4)
{"formula": "LiTlSi2S", "functional": "meta-GGA SCAN", "state": "PBEsol geometry", "lattice": [[5.138, 0.000, 0.000], [0.000, 5.138, 0.000], [0.000, 0.000, 5.378]], "species": ["Li", "Tl", "Si", "Si", "S"], "frac_coords": [[0.000, 0.000, 0.000], [0.500, 0.500, 0.500], [0.000, 0.500, 0.500], [0.500, 0.000, 0.500], [0.500, 0.500, 0.000]], "dft_energy_ev_per_atom": -19.825, "magnetic_moment_mub_per_atom": 0.120, "e_form_raw_ev_per_atom": 1.057}

(5)
{"formula": "TcMo2As", "functional": "meta-GGA SCAN", "state": "PBEsol geometry", "lattice": [[6.155, 0.000, 0.000], [0.000, 6.155, 0.000], [0.000, 0.000, 6.155]], "species": ["Tc", "Tc", "Tc", "Tc", "Mo", "Mo", "Mo", "Mo", "Mo", "Mo", "Mo", "Mo", "As", "As", "As", "As"], "frac_coords": [[0.000, 0.000, 0.000], [0.000, 0.500, 0.500], [0.500, 0.000, 0.500], [0.500, 0.500, 0.000], [0.000, 0.000, 0.500], [0.000, 0.500, 0.000], [0.250, 0.250, 0.750], [0.250, 0.750, 0.250], [0.500, 0.000, 0.000], [0.500, 0.500, 0.500], [0.750, 0.250, 0.250], [0.750, 0.750, 0.750], [0.250, 0.250, 0.250], [0.250, 0.750, 0.750], [0.750, 0.250, 0.750], [0.750, 0.750, 0.250]], "dft_energy_ev_per_atom": -31.149, "delta_e_f_ev_per_atom": 0.106, "magnetic_moment_mub_per_atom": 0.000}

(6)
{"formula": "TlRe2", "functional": "meta-GGA SCAN", "state": "PBEsol geometry", "lattice": [[2.881, 0.000, 0.000], [-1.440, 2.495, 0.000], [0.000, 0.000, 7.048]], "species": ["Tl", "Re", "Re"], "frac_coords": [[0.000, 0.000, 0.000], [0.333, 0.667, 0.358], [0.667, 0.333, 0.642]], "dft_energy_ev_per_atom": -70.864, "delta_e_f_ev_per_atom": 0.654, "magnetic_moment_mub_per_atom": 0.000}